Entry 1:
## Tb2Ga2CuPt5 (GGA-PBE)

Data for an optimized crystal structure of Tb2Ga2CuPt5.

space group: No. 127

Lattice parameters (Å, degrees): 9.758 9.758 3.704 90.00 90.00 90.00
Fractional positions:
1 Tb 0.175 0.325 0.000
2 Tb 0.325 0.825 0.000
3 Tb 0.675 0.175 0.000
4 Tb 0.825 0.675 0.000
5 Ga 0.125 0.625 0.000
6 Ga 0.375 0.125 0.000
7 Ga 0.625 0.875 0.000
8 Ga 0.875 0.375 0.000
9 Cu 0.000 0.000 0.000
10 Cu 0.500 0.500 0.000
11 Pt 0.000 0.500 0.500
12 Pt 0.059 0.800 0.500
13 Pt 0.200 0.059 0.500
14 Pt 0.300 0.559 0.500
15 Pt 0.441 0.300 0.500
16 Pt 0.500 0.000 0.500
17 Pt 0.559 0.700 0.500
18 Pt 0.700 0.441 0.500
19 Pt 0.800 0.941 0.500
20 Pt 0.941 0.200 0.500

---

Entry 2:
## VCuOs2 (GGA-PBE)

Data for an optimized crystal structure of VCuOs2.

energy above the most stable polymorph in this dataset: 415 meV per atom
space group: No. 166

Lattice parameters (Å, degrees): 2.687 2.687 27.515 90.00 90.00 120.00
Fractional positions:
1 V 0.000 0.000 0.000
2 V 0.333 0.667 0.667
3 V 0.667 0.333 0.333
4 Cu 0.000 0.000 0.500
5 Cu 0.333 0.667 0.167
6 Cu 0.667 0.333 0.833
7 Os 0.000 0.000 0.087
8 Os 0.000 0.000 0.913
9 Os 0.333 0.667 0.580
10 Os 0.333 0.667 0.754
11 Os 0.667 0.333 0.246
12 Os 0.667 0.333 0.420

---

| no. | energy of formation (eV/atom) | E_tot (eV/atom) |
| --- | --- | --- |
| 1 | -0.780 | -5.7415 |
| 2 | 0.490 | -8.4283 |